VASP calculation (GGA-PBE) on crystalline Mg2ZnCd8 at its relaxed geometry.

Values from the calculation:
ΔE_f: -0.027 eV/atom

a b c (Å): 4.614 4.614 11.383
angles (deg): 90.00 90.00 90.00
Positions (direct):
1 Mg 0.000 0.000 0.184
2 Mg 0.000 0.000 0.816
3 Zn 0.000 0.000 0.500
4 Cd 0.000 0.500 0.000
5 Cd 0.000 0.500 0.363
6 Cd 0.000 0.500 0.637
7 Cd 0.500 0.000 0.000
8 Cd 0.500 0.000 0.363
9 Cd 0.500 0.000 0.637
10 Cd 0.500 0.500 0.184
11 Cd 0.500 0.500 0.816

---

VASP calculation (GGA-PBE) on crystalline Mg3ZnCd3 at its relaxed geometry.

Values from the calculation:
ΔE_f: -0.052 eV/atom

a b c (Å): 6.831 6.831 6.462
angles (deg): 90.00 90.00 90.28
Positions (direct):
1 Mg 0.000 0.000 0.243
2 Mg 0.000 0.000 0.757
3 Mg 0.000 0.500 0.239
4 Mg 0.000 0.500 0.761
5 Mg 0.500 0.000 0.239
6 Mg 0.500 0.000 0.761
7 Zn 0.255 0.745 0.000
8 Zn 0.745 0.255 0.000
9 Cd 0.275 0.275 0.500
10 Cd 0.283 0.717 0.500
11 Cd 0.335 0.335 0.000
12 Cd 0.665 0.665 0.000
13 Cd 0.717 0.283 0.500
14 Cd 0.725 0.725 0.500

---

VASP calculation (GGA-PBE) on crystalline Mg2ZnCd6 at its relaxed geometry.

Values from the calculation:
ΔE to the lowest computed polymorph: 0.3 kJ per mole of atoms
ΔE_f: 0.005 eV/atom

a b c (Å): 6.566 6.566 5.188
angles (deg): 108.27 108.27 76.52
Positions (direct):
1 Mg 0.179 0.179 0.167
2 Mg 0.821 0.821 0.833
3 Zn 0.500 0.500 0.500
4 Cd 0.020 0.654 0.343
5 Cd 0.320 0.680 0.000
6 Cd 0.346 0.980 0.657
7 Cd 0.654 0.020 0.343
8 Cd 0.680 0.320 0.000
9 Cd 0.980 0.346 0.657

---

| no. | calculated total energy (eV per atom) |
| --- | --- |
| 1 | -1.0981 |
| 2 | -1.3092 |
| 3 | -1.1012 |